1.
Th3FeB2Rh9: relaxed, PBE.

Summary:
Volume   251 Å³/cell
E_form   -0.691 eV per atom

POSCAR file:
```
Th3FeB2Rh9
1.0
5.964 0.000 0.000
-2.982 5.165 0.000
0.000 0.000 8.136
Th Fe B Rh
3 1 2 9
Direct
0.000 0.000 0.000
0.333 0.667 0.652
0.667 0.333 0.348
0.000 0.000 0.500
0.333 0.667 0.149
0.667 0.333 0.851
0.000 0.500 0.000
0.170 0.339 0.298
0.170 0.830 0.298
0.339 0.170 0.702
0.500 0.000 0.000
0.500 0.500 0.000
0.661 0.830 0.298
0.830 0.170 0.702
0.830 0.661 0.702
```


2.
LiBeSi2: relaxed, PBE.

Summary:
Formation energy from raw total energies   160 meV per atom
Volume   53 Å³/cell

POSCAR file:
```
LiBeSi2
1.0
2.558 0.000 0.000
0.000 4.405 0.000
-0.382 0.000 4.670
Li Be Si
1 1 2
Direct
0.000 0.000 0.000
0.471 0.500 0.246
0.515 0.000 0.484
0.550 0.500 0.753
```


3.
Ac3PmPd12: relaxed, PBE.

Summary:
Volume   314 Å³/cell
E_form   -0.742 eV per atom

POSCAR file:
```
Ac3PmPd12
1.0
4.281 0.000 0.000
0.000 4.281 0.000
0.000 0.000 17.150
Ac Pm Pd
3 1 12
Direct
0.000 0.000 0.000
0.000 0.000 0.254
0.000 0.000 0.746
0.000 0.000 0.500
0.000 0.500 0.127
0.000 0.500 0.381
0.000 0.500 0.619
0.000 0.500 0.873
0.500 0.000 0.127
0.500 0.000 0.381
0.500 0.000 0.619
0.500 0.000 0.873
0.500 0.500 0.000
0.500 0.500 0.253
0.500 0.500 0.500
0.500 0.500 0.747
```


4.
InMoOs2: relaxed, PBE.

Summary:
Volume   147 Å³/cell
E_form   0.903 eV per atom

POSCAR file:
```
InMoOs2
1.0
-3.678 3.678 2.726
3.678 -3.678 2.726
3.678 3.678 -2.726
In Mo Os
2 2 4
Direct
0.000 0.000 0.000
0.750 0.250 0.500
0.250 0.750 0.500
0.500 0.500 0.000
0.173 0.125 0.548
0.375 0.827 0.952
0.577 0.625 0.452
0.875 0.423 0.048
```


5.
AlB2P: relaxed, PBE.

Summary:
Volume   92 Å³/cell
E_form   0.091 eV per atom
Energy relative to the lowest polymorph listed for this composition   0.29 eV per formula unit

POSCAR file:
```
AlB2P
1.0
5.117 0.000 0.000
0.000 3.093 0.000
-2.375 0.000 5.834
Al B P
2 4 2
Direct
0.000 0.000 0.000
0.136 0.500 0.368
0.380 0.500 0.128
0.473 0.000 0.000
0.682 0.500 0.395
0.700 0.500 0.115
0.347 0.000 0.669
0.735 0.000 0.587
```


6.
Ac2ErLu: relaxed, PBE.

Summary:
Volume   152 Å³/cell
E_form   0.284 eV per atom
Energy relative to the lowest polymorph listed for this composition   0.89 eV per formula unit

POSCAR file:
```
Ac2ErLu
1.0
1.836 1.060 13.016
-1.836 1.060 13.016
0.000 -2.120 13.016
Ac Er Lu
2 1 1
Direct
0.089 0.089 0.089
0.911 0.911 0.911
0.500 0.500 0.500
0.000 0.000 0.000
```


7.
GaAgBiPb: relaxed, PBE.

Summary:
Volume   101 Å³/cell
E_form   0.133 eV per atom

POSCAR file:
```
GaAgBiPb
1.0
0.000 3.692 3.692
3.692 0.000 3.692
3.692 3.692 0.000
Ga Ag Bi Pb
1 1 1 1
Direct
0.000 0.000 0.000
0.500 0.500 0.500
0.250 0.250 0.250
0.750 0.750 0.750
```


8.
Pm3Co2Ni4: relaxed, PBE.

Summary:
Volume   328 Å³/cell
E_form   -0.242 eV per atom

POSCAR file:
```
Pm3Co2Ni4
1.0
3.974 0.000 0.000
-1.987 3.441 0.000
0.000 0.000 23.970
Pm Co Ni
6 4 8
Direct
0.000 0.000 0.084
0.000 0.000 0.248
0.000 0.000 0.416
0.000 0.000 0.584
0.000 0.000 0.752
0.000 0.000 0.916
0.333 0.667 0.500
0.667 0.333 0.166
0.667 0.333 0.500
0.667 0.333 0.834
0.333 0.667 0.000
0.333 0.667 0.166
0.333 0.667 0.332
0.333 0.667 0.668
0.333 0.667 0.834
0.667 0.333 0.000
0.667 0.333 0.332
0.667 0.333 0.668
```


Question: Look up the volume of the third one.
Answer: 314 Å³/cell


Repeat the first record exactly.
Th3FeB2Rh9: relaxed, PBE.

Summary:
Volume   251 Å³/cell
E_form   -0.691 eV per atom

POSCAR file:
```
Th3FeB2Rh9
1.0
5.964 0.000 0.000
-2.982 5.165 0.000
0.000 0.000 8.136
Th Fe B Rh
3 1 2 9
Direct
0.000 0.000 0.000
0.333 0.667 0.652
0.667 0.333 0.348
0.000 0.000 0.500
0.333 0.667 0.149
0.667 0.333 0.851
0.000 0.500 0.000
0.170 0.339 0.298
0.170 0.830 0.298
0.339 0.170 0.702
0.500 0.000 0.000
0.500 0.500 0.000
0.661 0.830 0.298
0.830 0.170 0.702
0.830 0.661 0.702
```


Question: The lowest volume belongs to which entry?
Answer: LiBeSi2


What did the third record say?
Ac3PmPd12: relaxed, PBE.

Summary:
Volume   314 Å³/cell
E_form   -0.742 eV per atom

POSCAR file:
```
Ac3PmPd12
1.0
4.281 0.000 0.000
0.000 4.281 0.000
0.000 0.000 17.150
Ac Pm Pd
3 1 12
Direct
0.000 0.000 0.000
0.000 0.000 0.254
0.000 0.000 0.746
0.000 0.000 0.500
0.000 0.500 0.127
0.000 0.500 0.381
0.000 0.500 0.619
0.000 0.500 0.873
0.500 0.000 0.127
0.500 0.000 0.381
0.500 0.000 0.619
0.500 0.000 0.873
0.500 0.500 0.000
0.500 0.500 0.253
0.500 0.500 0.500
0.500 0.500 0.747
```